(1)
# RbAl3Ru

A geometry-optimized RbAl3Ru structure (PBE-GGA, Alexandria).

Output
VASP energy	-4.465	eV/atom
calculated volume	115.97	Å³/cell
ΔE to the lowest computed polymorph	0.000	eV per atom
energy of formation	-170	meV per atom

a b c (Å): 4.8766 4.8766 4.8766
angles (deg): 90.00 90.00 90.00
Closest atoms and distances in Å follow each position.
Element x y z (fractional)
Ru (0.0000, 0.0000, 0.0000)  6 Al 2.44
Al (0.0000, 0.5000, 0.0000)  2 Ru 2.44
Al (0.0000, 0.0000, 0.5000)  2 Ru 2.44
Al (0.5000, 0.0000, 0.0000)  2 Ru 2.44
Rb (0.5000, 0.5000, 0.5000)  12 Al 3.45



(2)
# BaB3Br

A geometry-optimized BaB3Br structure (PBE-GGA, Alexandria).

Output
VASP energy	-2.738	eV/atom
E_form (uncorrected)	1.988	eV per atom
calculated volume	100.84	Å³/cell
ΔE to the lowest computed polymorph	0.000	eV per atom

a b c (Å): 4.6546 4.6546 4.6546
angles (deg): 90.00 90.00 90.00
Closest atoms and distances in Å follow each position.
Element x y z (fractional)
B (0.0000, 0.5000, 0.0000)  2 Br 2.33
B (0.0000, 0.0000, 0.5000)  2 Br 2.33
B (0.5000, 0.0000, 0.0000)  2 Br 2.33
Ba (0.5000, 0.5000, 0.5000)  12 B 3.29
Br (0.0000, 0.0000, 0.0000)  6 B 2.33



(3)
# MnNi2Pt4

A geometry-optimized MnNi2Pt4 structure (PBE-GGA, Alexandria).

Output
VASP energy	-6.505	eV/atom
calculated volume	103.48	Å³/cell
energy of formation	-92	meV per atom

a b c (Å): 3.8056 5.2417 5.2417
angles (deg): 98.24 90.00 90.00
Closest atoms and distances in Å follow each position.
Element x y z (fractional)
Mn (0.5000, 0.5000, 0.5000)  8 Pt 2.62-2.74, 4 Ni 2.62
Ni (0.0000, 0.7277, 0.2723)  8 Pt 2.57-2.67, 2 Mn 2.62
Ni (0.0000, 0.2723, 0.7277)  8 Pt 2.57-2.67, 2 Mn 2.62
Pt (0.0000, 0.7873, 0.7873)  4 Ni 2.61-2.67, 2 Mn 2.74, 4 Pt 2.76
Pt (0.0000, 0.2127, 0.2127)  4 Ni 2.61-2.67, 2 Mn 2.74, 4 Pt 2.76
Pt (0.5000, 0.0000, 0.5000)  4 Ni 2.57, 2 Mn 2.62, 4 Pt 2.76
Pt (0.5000, 0.5000, 0.0000)  4 Ni 2.57, 2 Mn 2.62, 4 Pt 2.76



(4)
# Nd5HoRh4

A geometry-optimized Nd5HoRh4 structure (PBE-GGA, Alexandria).

Output
VASP energy	-6.340	eV/atom
calculated volume	274.53	Å³/cell
energy of formation	-558	meV per atom

a b c (Å): 4.2676 7.5378 9.5732
angles (deg): 113.23 102.88 90.00
Closest atoms and distances in Å follow each position.
Element x y z (fractional)
Nd (0.8364, 0.5916, 0.6728)  4 Rh 2.79-3.05
Nd (0.8363, 0.0806, 0.6726)  4 Rh 2.79-3.06
Nd (0.1637, 0.9194, 0.3274)  4 Rh 2.79-3.06
Nd (0.5000, 0.5000, 0.0000)  4 Rh 2.88
Nd (0.1636, 0.4084, 0.3272)  4 Rh 2.79-3.05
Ho (0.5000, 0.0000, 0.0000)  4 Rh 2.82
Rh (0.3024, 0.8022, 0.6049)  6 Nd 2.88-3.06
Rh (0.0001, 0.7564, 0.0001)  4 Nd 2.79-2.88, 2 Ho 2.82
Rh (0.6976, 0.1978, 0.3951)  6 Nd 2.88-3.06
Rh (0.9999, 0.2436, 0.9999)  4 Nd 2.79-2.88, 2 Ho 2.82



(5)
# Co2TeW

A geometry-optimized Co2TeW structure (PBE-GGA, Alexandria).

Output
VASP energy	-6.867	eV/atom
E_form (uncorrected)	0.710	eV per atom
calculated volume	62.83	Å³/cell

a b c (Å): 8.2568 8.2568 8.2568
angles (deg): 20.92 20.92 20.92
Closest atoms and distances in Å follow each position.
Element x y z (fractional)
Co (0.9971, 0.9971, 0.9971)  3 Co 2.50, 3 W 2.55
Co (0.2558, 0.2558, 0.2558)  3 Co 2.50, 3 Te 2.66
Te (0.5059, 0.5059, 0.5059)  3 Co 2.66, 3 W 2.94
W (0.7412, 0.7412, 0.7412)  3 Co 2.55



(6)
# TaPbI2

A geometry-optimized TaPbI2 structure (PBE-GGA, Alexandria).

Output
VASP energy	-4.266	eV/atom
E_form (uncorrected)	0.399	eV per atom
calculated volume	283.85	Å³/cell
ΔE to the lowest computed polymorph	0.000	eV per atom

a b c (Å): 9.9488 9.9488 7.5969
angles (deg): 49.10 49.10 90.00
Closest atoms and distances in Å follow each position.
Element x y z (fractional)
Pb (0.0000, 0.0000, 0.0000)  2 Ta 2.87
Pb (0.7500, 0.2500, 0.5000)  2 Ta 2.87
I (0.4892, 0.1250, 0.2500)  2 Ta 2.83
I (0.2608, 0.6250, 0.2500)  2 Ta 2.83
I (0.3750, 0.5108, 0.7500)  2 Ta 2.83
I (0.8750, 0.7392, 0.7500)  2 Ta 2.83
Ta (0.5000, 0.5000, 0.0000)  4 I 2.83, 2 Pb 2.87
Ta (0.2500, 0.7500, 0.5000)  4 I 2.83, 2 Pb 2.87



(7)
# La4Cu2F

A geometry-optimized La4Cu2F structure (PBE-GGA, Alexandria).

Output
VASP energy	-4.997	eV/atom
E_form (uncorrected)	-0.743	eV per atom
calculated volume	185.78	Å³/cell

a b c (Å): 5.0666 5.0666 8.0754
angles (deg): 108.28 108.28 90.00
Closest atoms and distances in Å follow each position.
Element x y z (fractional)
F (0.0000, 0.0000, 0.0000)  4 La 2.53
Cu (0.6114, 0.6114, 0.2228)  5 La 2.76-3.00
Cu (0.3886, 0.3886, 0.7772)  5 La 2.76-3.00
La (0.8017, 0.8017, 0.6035)  1 Cu 2.76, 1 F 2.87
La (0.1983, 0.1983, 0.3965)  1 Cu 2.76, 1 F 2.87
La (0.0000, 0.5000, 0.0000)  2 F 2.53
La (0.5000, 0.0000, 0.0000)  2 F 2.53



(8)
# MgAgBiPb

A geometry-optimized MgAgBiPb structure (PBE-GGA, Alexandria).

Output
VASP energy	-2.967	eV/atom
calculated volume	102.89	Å³/cell
energy of formation	42	meV per atom

a b c (Å): 5.2597 5.2597 5.2597
angles (deg): 60.00 60.00 60.00
Closest atoms and distances in Å follow each position.
Element x y z (fractional)
Pb (0.0000, 0.0000, 0.0000)  4 Mg 3.22, 4 Ag 3.22
Mg (0.7500, 0.7500, 0.7500)  4 Pb 3.22, 4 Bi 3.22
Bi (0.5000, 0.5000, 0.5000)  4 Ag 3.22, 4 Mg 3.22
Ag (0.2500, 0.2500, 0.2500)  4 Bi 3.22, 4 Pb 3.22



(9)
# AcInSbAu

A geometry-optimized AcInSbAu structure (PBE-GGA, Alexandria).

Output
VASP energy	-4.075	eV/atom
E_form (uncorrected)	-0.514	eV per atom
calculated volume	116.70	Å³/cell

a b c (Å): 5.4853 5.4853 5.4853
angles (deg): 60.00 60.00 60.00
Closest atoms and distances in Å follow each position.
Element x y z (fractional)
Sb (0.0000, 0.0000, 0.0000)  4 Ac 3.36, 4 In 3.36
Ac (0.7500, 0.7500, 0.7500)  4 Sb 3.36, 4 Au 3.36
Au (0.5000, 0.5000, 0.5000)  4 Ac 3.36, 4 In 3.36
In (0.2500, 0.2500, 0.2500)  4 Sb 3.36, 4 Au 3.36



(10)
# Tb3Ho2Tl2

A geometry-optimized Tb3Ho2Tl2 structure (PBE-GGA, Alexandria).

Output
VASP energy	-4.057	eV/atom
calculated volume	204.83	Å³/cell
ΔE to the lowest computed polymorph	0.109	eV per atom
energy of formation	-89	meV per atom

a b c (Å): 4.9750 3.4967 12.0343
angles (deg): 90.00 78.07 90.00
Closest atoms and distances in Å follow each position.
Element x y z (fractional)
Tb (0.8543, 0.0000, 0.2914)  3 Tb 3.43-3.50, 6 Ho 3.44-3.73, 4 Tl 3.49
Tb (0.0000, 0.0000, 0.0000)  4 Tb 3.43-3.50, 8 Tl 3.49
Tb (0.1457, 0.0000, 0.7086)  3 Tb 3.43-3.50, 6 Ho 3.44-3.73, 4 Tl 3.49
Ho (0.7142, 0.5000, 0.5715)  2 Ho 3.00, 1 Tl 3.33
Ho (0.2858, 0.5000, 0.4285)  2 Ho 3.00, 1 Tl 3.33
Tl (0.5729, 0.5000, 0.8541)  1 Ho 3.33, 3 Tl 3.44-3.50, 8 Tb 3.49
Tl (0.4271, 0.5000, 0.1459)  1 Ho 3.33, 3 Tl 3.44-3.50, 8 Tb 3.49



(11)
# BeIrSe

A geometry-optimized BeIrSe structure (PBE-GGA, Alexandria).

Output
VASP energy	-5.107	eV/atom
E_form (uncorrected)	0.250	eV per atom
calculated volume	47.20	Å³/cell
ΔE to the lowest computed polymorph	0.180	eV per atom

a b c (Å): 7.4596 7.2037 2.7679
angles (deg): 84.37 73.95 21.67
Closest atoms and distances in Å follow each position.
Element x y z (fractional)
Be (0.0070, 0.0070, 0.9930)  2 Ir 2.22, 2 Se 2.45
Ir (0.6286, 0.6286, 0.3714)  2 Be 2.22
Se (0.3644, 0.3644, 0.6356)  2 Be 2.45



(12)
# Nd5Te5N2

A geometry-optimized Nd5Te5N2 structure (PBE-GGA, Alexandria).

Output
VASP energy	-6.008	eV/atom
E_form (uncorrected)	-1.324	eV per atom
calculated volume	332.77	Å³/cell

a b c (Å): 4.1196 7.5717 11.2306
angles (deg): 98.85 90.00 105.79
Closest atoms and distances in Å follow each position.
Element x y z (fractional)
Nd (0.0930, 0.1861, 0.3317)  1 N 2.32
Nd (0.6328, 0.2655, 0.7871)  2 N 2.43
Nd (0.3672, 0.7345, 0.2129)  2 N 2.43
Nd (0.9070, 0.8139, 0.6683)  1 N 2.32
Nd (0.0000, 0.0000, 0.0000)  2 N 2.45
Te (0.5000, 0.0000, 0.5000)  6 Nd 3.24-3.49
Te (0.6603, 0.3206, 0.0916)  3 Nd 3.16-3.38, 1 Te 3.40
Te (0.7639, 0.5279, 0.3847)  5 Nd 3.21-3.52, 3 Te 3.38-3.40
Te (0.2361, 0.4721, 0.6153)  5 Nd 3.21-3.52, 3 Te 3.38-3.40
Te (0.3397, 0.6794, 0.9084)  3 Nd 3.16-3.38, 1 Te 3.40
N (0.0470, 0.0941, 0.8005)  4 Nd 2.32-2.45
N (0.9530, 0.9059, 0.1995)  4 Nd 2.32-2.45